(1)
{
  "formula": "Li2Mg6Hg",
  "functional": "GGA-PBE",
  "state": "optimized geometry",
  "lattice_angstrom": [[-1.497, -2.520, 1.158], [-2.905, -1.804, -7.681], [7.345, -3.183, 2.571]],
  "species": ["Mg", "Mg", "Mg", "Li", "Mg", "Hg", "Mg", "Mg", "Li"],
  "fractional_positions": [[0.500, 0.000, 0.634], [0.500, 0.366, 0.366], [0.500, 0.634, 0.000], [0.000, 0.667, 0.333], [0.000, 0.301, 0.000], [0.500, 0.000, 0.000], [0.000, 0.699, 0.699], [0.000, 0.000, 0.301], [0.000, 0.333, 0.667]],
  "formation_energy_ev_per_atom": -0.08,
  "spacegroup": "P-62m, No. 189",
  "polymorph_energy_ev_per_fu": 0.00,
  "magmom_total_mub_per_fu": 0.000
}

(2)
{
  "formula": "Li5Mg3Hg2",
  "functional": "GGA-PBE",
  "state": "optimized geometry",
  "lattice_angstrom": [[5.763, 0.000, 0.000], [2.882, 9.897, 2.858], [2.882, 5.382, 8.783]],
  "species": ["Mg", "Li", "Hg", "Mg", "Li", "Mg", "Mg", "Li", "Li", "Mg", "Hg", "Li", "Hg", "Li", "Li", "Mg", "Li", "Li", "Li", "Hg"],
  "fractional_positions": [[0.623, 0.531, 0.223], [0.594, 0.156, 0.156], [0.415, 0.817, 0.353], [0.250, 0.000, 0.000], [0.250, 0.500, 0.500], [0.750, 0.000, 0.000], [0.377, 0.469, 0.777], [0.906, 0.844, 0.844], [0.274, 0.903, 0.549], [0.877, 0.777, 0.469], [0.915, 0.353, 0.817], [0.750, 0.500, 0.500], [0.085, 0.647, 0.183], [0.094, 0.156, 0.156], [0.726, 0.097, 0.451], [0.123, 0.223, 0.531], [0.406, 0.844, 0.844], [0.774, 0.549, 0.903], [0.226, 0.451, 0.097], [0.585, 0.183, 0.647]],
  "formation_energy_ev_per_atom": -0.16,
  "spacegroup": "Ibam, No. 72",
  "magmom_total_mub_per_fu": 0.000
}

(3)
{
  "formula": "Li14MgHg",
  "functional": "GGA-PBE",
  "state": "optimized geometry",
  "lattice_angstrom": [[-1.592, 4.575, 3.547], [-4.025, -4.196, -1.495], [2.572, -5.324, 8.020]],
  "species": ["Li", "Li", "Li", "Li", "Li", "Mg", "Li", "Li", "Li", "Li", "Li", "Li", "Hg", "Li", "Li", "Li"],
  "fractional_positions": [[0.046, 0.461, 0.500], [0.375, 0.625, 0.242], [0.708, 0.292, 0.000], [0.877, 0.123, 0.258], [0.879, 0.633, 0.253], [0.542, 0.458, 0.500], [0.879, 0.633, 0.747], [0.207, 0.793, 0.000], [0.712, 0.796, 0.000], [0.367, 0.121, 0.747], [0.539, 0.954, 0.500], [0.204, 0.288, 0.000], [0.044, 0.956, 0.500], [0.367, 0.121, 0.253], [0.375, 0.625, 0.758], [0.877, 0.123, 0.742]],
  "formation_energy_ev_per_atom": -0.06,
  "spacegroup": "Amm2, No. 38",
  "magmom_total_mub_per_fu": 0.000
}

(4)
{
  "formula": "Li2MgHg2",
  "functional": "GGA-PBE",
  "state": "optimized geometry",
  "lattice_angstrom": [[4.521, 0.000, 1.366], [1.737, 3.727, 2.415], [-1.208, 1.679, 12.167]],
  "species": ["Hg", "Li", "Li", "Hg", "Mg", "Hg", "Hg", "Li", "Mg", "Li"],
  "fractional_positions": [[0.553, 0.256, 0.146], [0.859, 0.721, 0.066], [0.141, 0.279, 0.934], [0.046, 0.756, 0.646], [0.746, 0.250, 0.750], [0.447, 0.744, 0.854], [0.954, 0.244, 0.354], [0.354, 0.221, 0.566], [0.254, 0.750, 0.250], [0.646, 0.779, 0.434]],
  "formation_energy_ev_per_atom": -0.29,
  "spacegroup": "C2/c, No. 15",
  "polymorph_energy_ev_per_fu": 0.00,
  "magmom_total_mub_per_fu": 0.000
}

(5)
{
  "formula": "Li7MgHg4",
  "functional": "GGA-PBE",
  "state": "optimized geometry",
  "lattice_angstrom": [[-0.263, -4.206, 2.698], [7.169, -1.684, 2.715], [0.777, 1.449, 6.976]],
  "species": ["Hg", "Li", "Li", "Li", "Hg", "Li", "Li", "Hg", "Li", "Hg", "Mg", "Li"],
  "fractional_positions": [[0.439, 0.736, 0.386], [0.202, 0.118, 0.479], [0.257, 0.697, 0.790], [0.500, 0.000, 0.000], [0.687, 0.669, 0.957], [0.924, 0.419, 0.733], [0.743, 0.303, 0.210], [0.313, 0.331, 0.043], [0.798, 0.882, 0.521], [0.561, 0.264, 0.614], [0.000, 0.000, 0.000], [0.076, 0.581, 0.267]],
  "formation_energy_ev_per_atom": -0.19,
  "spacegroup": "C2/m, No. 12",
  "polymorph_energy_ev_per_fu": 1.31,
  "magmom_total_mub_per_fu": 0.000
}

(6)
{
  "formula": "LiMgHg2",
  "functional": "GGA-PBE",
  "state": "optimized geometry",
  "lattice_angstrom": [[5.755, 0.032, 0.007], [2.734, 5.064, -0.007], [-3.864, -3.181, 2.840]],
  "species": ["Mg", "Li", "Hg", "Hg"],
  "fractional_positions": [[0.248, 0.748, 0.500], [0.512, 0.512, 0.000], [0.742, 0.242, 0.500], [0.999, 0.999, 0.000]],
  "formation_energy_ev_per_atom": -0.24,
  "spacegroup": "Imm2, No. 44",
  "magmom_total_mub_per_fu": 0.000
}

(7)
{
  "formula": "Li2Mg2Hg5",
  "functional": "GGA-PBE",
  "state": "optimized geometry",
  "lattice_angstrom": [[7.513, 0.000, 0.000], [0.000, 7.325, 0.000], [0.000, -3.663, 7.151]],
  "species": ["Hg", "Hg", "Li", "Hg", "Mg", "Li", "Mg", "Hg", "Li", "Hg", "Hg", "Mg", "Mg", "Li", "Hg", "Hg", "Hg", "Hg"],
  "fractional_positions": [[0.344, 0.978, 0.265], [0.156, 0.478, 0.265], [0.144, 0.644, 0.000], [0.656, 0.287, 0.265], [0.000, 0.798, 0.596], [0.856, 0.356, 0.000], [0.000, 0.202, 0.404], [0.000, 0.000, 0.000], [0.644, 0.856, 0.000], [0.500, 0.500, 0.000], [0.656, 0.022, 0.735], [0.500, 0.298, 0.596], [0.500, 0.702, 0.404], [0.356, 0.144, 0.000], [0.156, 0.213, 0.735], [0.844, 0.522, 0.735], [0.844, 0.787, 0.265], [0.344, 0.713, 0.735]],
  "formation_energy_ev_per_atom": -0.20,
  "spacegroup": "Cmce, No. 64",
  "magmom_total_mub_per_fu": 0.000
}

(8)
{
  "formula": "LiMg5Hg2",
  "functional": "GGA-PBE",
  "state": "optimized geometry",
  "lattice_angstrom": [[4.841, 0.000, 0.000], [-2.421, 4.192, 0.000], [0.000, 0.000, 17.703]],
  "species": ["Hg", "Mg", "Mg", "Mg", "Mg", "Mg", "Hg", "Hg", "Mg", "Li", "Mg", "Mg", "Li", "Mg", "Hg", "Mg"],
  "fractional_positions": [[0.333, 0.667, 0.103], [0.333, 0.667, 0.558], [0.333, 0.667, 0.942], [0.667, 0.333, 0.250], [0.667, 0.333, 0.442], [0.000, 0.000, 0.842], [0.667, 0.333, 0.603], [0.667, 0.333, 0.897], [0.000, 0.000, 0.658], [0.333, 0.667, 0.250], [0.667, 0.333, 0.058], [0.000, 0.000, 0.342], [0.667, 0.333, 0.750], [0.000, 0.000, 0.158], [0.333, 0.667, 0.397], [0.333, 0.667, 0.750]],
  "formation_energy_ev_per_atom": -0.12,
  "spacegroup": "P6_3/mmc, No. 194",
  "magmom_total_mub_per_fu": 0.000
}

(9)
{
  "formula": "LiMg6Hg12",
  "functional": "GGA-PBE",
  "state": "optimized geometry",
  "lattice_angstrom": [[7.535, 0.324, 0.388], [-0.823, 7.497, 0.388], [-0.823, -0.958, 7.446]],
  "species": ["Hg", "Mg", "Hg", "Hg", "Mg", "Hg", "Hg", "Mg", "Li", "Hg", "Mg", "Hg", "Hg", "Hg", "Hg", "Hg", "Mg", "Mg", "Hg"],
  "fractional_positions": [[0.978, 0.875, 0.648], [0.735, 0.293, 0.123], [0.352, 0.022, 0.125], [0.648, 0.978, 0.875], [0.877, 0.265, 0.707], [0.547, 0.450, 0.801], [0.875, 0.648, 0.978], [0.265, 0.707, 0.877], [0.000, 0.000, 0.000], [0.022, 0.125, 0.352], [0.707, 0.877, 0.265], [0.199, 0.453, 0.550], [0.550, 0.199, 0.453], [0.125, 0.352, 0.022], [0.450, 0.801, 0.547], [0.453, 0.550, 0.199], [0.123, 0.735, 0.293], [0.293, 0.123, 0.735], [0.801, 0.547, 0.450]],
  "formation_energy_ev_per_atom": -0.14,
  "spacegroup": "R-3, No. 148",
  "polymorph_energy_ev_per_fu": 0.00,
  "magmom_total_mub_per_fu": 0.000
}

(10)
{
  "formula": "Li10Mg3Hg3",
  "functional": "GGA-PBE",
  "state": "optimized geometry",
  "lattice_angstrom": [[5.359, 0.000, 0.000], [0.000, 7.136, -4.120], [0.000, 0.000, 8.240]],
  "species": ["Hg", "Li", "Li", "Li", "Li", "Mg", "Mg", "Li", "Mg", "Li", "Hg", "Li", "Li", "Hg", "Li", "Li"],
  "fractional_positions": [[0.000, 0.000, 0.601], [0.500, 0.000, 0.772], [0.764, 0.333, 0.667], [0.000, 0.000, 0.234], [0.236, 0.667, 0.333], [0.500, 0.418, 0.000], [0.500, 0.582, 0.582], [0.764, 0.667, 0.333], [0.500, 0.000, 0.418], [0.236, 0.333, 0.667], [0.000, 0.399, 0.399], [0.000, 0.766, 0.766], [0.500, 0.772, 0.000], [0.000, 0.601, 0.000], [0.000, 0.234, 0.000], [0.500, 0.228, 0.228]],
  "formation_energy_ev_per_atom": -0.15,
  "spacegroup": "P-62m, No. 189",
  "magmom_total_mub_per_fu": 0.000
}

(11)
{
  "formula": "LiMgHg3",
  "functional": "GGA-PBE",
  "state": "optimized geometry",
  "lattice_angstrom": [[-5.143, -0.500, 0.065], [0.571, -5.251, 4.785], [-0.628, 6.754, 2.186]],
  "species": ["Mg", "Hg", "Hg", "Hg", "Hg", "Hg", "Hg", "Li", "Mg", "Li"],
  "fractional_positions": [[0.750, 0.667, 0.333], [0.250, 0.809, 0.619], [0.250, 0.809, 0.191], [0.750, 0.191, 0.381], [0.750, 0.191, 0.809], [0.750, 0.619, 0.809], [0.250, 0.381, 0.191], [0.500, 0.000, 0.000], [0.250, 0.333, 0.667], [0.000, 0.000, 0.000]],
  "formation_energy_ev_per_atom": -0.10,
  "spacegroup": "P6_3/mmc, No. 194",
  "polymorph_energy_ev_per_fu": 0.66,
  "magmom_total_mub_per_fu": 0.000
}

(12)
{
  "formula": "Li6MgHg2",
  "functional": "GGA-PBE",
  "state": "optimized geometry",
  "lattice_angstrom": [[4.268, 0.000, 0.218], [0.000, 8.744, 0.000], [-0.446, 0.000, 8.726]],
  "species": ["Li", "Hg", "Li", "Li", "Hg", "Li", "Li", "Li", "Li", "Li", "Li", "Li", "Li", "Mg", "Li", "Mg", "Hg", "Hg"],
  "fractional_positions": [[0.000, 0.999, 0.169], [0.500, 0.168, 0.329], [0.500, 0.825, 0.329], [0.500, 0.501, 0.669], [0.500, 0.832, 0.671], [0.000, 0.325, 0.171], [0.000, 0.668, 0.502], [0.000, 0.001, 0.831], [0.500, 0.168, 0.998], [0.000, 0.675, 0.829], [0.500, 0.175, 0.671], [0.500, 0.499, 0.331], [0.000, 0.332, 0.498], [0.500, 0.500, 0.000], [0.500, 0.832, 0.002], [0.000, 0.000, 0.500], [0.000, 0.332, 0.829], [0.000, 0.668, 0.171]],
  "formation_energy_ev_per_atom": -0.24,
  "spacegroup": "Pnnm, No. 58",
  "magmom_total_mub_per_fu": 0.000
}

Q: Which formula does entry 10 have?
A: Li10Mg3Hg3